Compound: Rb3CrF6
Source: Alexandria via LeMat-Bulk
Functional: GGA+U
Structure: optimized geometry

Values from the calculation:
The spin magnetization comes out at 3.00 Bohr magnetons per cell. The symmetry is C2/m, No. 12. For the final energy, the calculation gives -4.9582 eV/atom.

Cell lengths 6.770, 6.770, 5.991 Å; angles 111.77, 111.77, 108.06 degrees
Positions (direct):
Rb 0.000 0.000 0.000
Rb 0.279 0.721 0.500
Rb 0.721 0.279 0.500
Cr 0.500 0.500 0.000
F 0.179 0.429 0.955
F 0.335 0.335 0.580
F 0.429 0.179 0.955
F 0.571 0.821 0.045
F 0.665 0.665 0.420
F 0.821 0.571 0.045